# LiTmSn2Se4

Crystalline LiTmSn2Se4 at its relaxed geometry (PBE, the Alexandria database).

Cell: 7.109 4.154 7.293 Å, 90.00 108.59 90.00°
Space group P2/m (No. 10)
Symmetry-distinct sites (fractional):
Li (0.000, 0.000, 0.000) [1 per cell]
Tm (0.500, 0.500, 0.000) [1 per cell]
Sn (0.000, 0.500, 0.500) [1 per cell]
Sn (0.500, 0.000, 0.500) [1 per cell]
Se (0.247, 0.500, 0.230) [2 per cell]
Se (0.257, 0.000, 0.772) [2 per cell]

DOS(E_F)   0.00 states/eV per cell
Magnetization   0.00 μB/cell
Raw formation energy   -8.0 eV/f.u.